A plane-wave DFT calculation with PBE-GGA was carried out for a relaxed ScAg2C2 crystal.

Properties
ΔE_f in kcal/mol of atoms: 29.5
Energy above the lowest structure with this stoichiometry in kJ/mol of atoms: 0.0

a b c (Å): 4.1289 4.1289 5.1115
angles (deg): 66.18 66.18 90.00
Fractional positions:
1 Sc 0.0000 0.0000 0.0000
2 Ag 0.6575 0.6575 0.6850
3 C 0.2500 0.7500 0.5000
4 C 0.7500 0.2500 0.5000
5 Ag 0.3425 0.3425 0.3150

=====

A plane-wave DFT calculation with PBE-GGA was carried out for a relaxed NdHo2Sc crystal.

Properties
ΔE_f in kcal/mol of atoms: 3.6
Energy above the lowest structure with this stoichiometry in kJ/mol of atoms: 12.3

a b c (Å): 5.5756 5.5756 5.5756
angles (deg): 60.00 60.00 60.00
Fractional positions:
1 Ho 0.7500 0.7500 0.7500
2 Sc 0.5000 0.5000 0.5000
3 Ho 0.2500 0.2500 0.2500
4 Nd 0.0000 0.0000 0.0000

=====

A plane-wave DFT calculation with PBE-GGA was carried out for a relaxed ZrTlSe2 crystal.

a b c (Å): 5.0941 5.0941 3.5399
angles (deg): 84.68 84.68 95.73
Fractional positions:
1 Se 0.5000 0.5000 0.0000
2 Zr 0.0000 0.5000 0.5000
3 Tl 0.5000 0.0000 0.5000
4 Se 0.0000 0.0000 0.0000

=====

A plane-wave DFT calculation with PBE-GGA was carried out for a relaxed CrSnTe2 crystal.

a b c (Å): 4.1056 4.1056 7.8857
angles (deg): 74.91 74.91 60.00
Last column: magnetic moment on the atom in μB.
Fractional positions:
1 Sn 0.5014 0.5014 0.4958  0.09
2 Te 0.0667 0.0667 0.7999  -0.10
3 Cr 0.6669 0.6669 0.9994  3.47
4 Te 0.2650 0.2650 0.2049  -0.09

=====

A plane-wave DFT calculation with PBE-GGA was carried out for a relaxed Ho3U2Fe4 crystal.

Properties
ΔE_f in kcal/mol of atoms: -4.3

a b c (Å): 3.9647 5.7579 8.3922
angles (deg): 102.29 90.00 110.14
Fractional positions:
1 Ho 0.0000 0.0000 0.0000
2 Fe 0.0935 0.1870 0.6461
3 Ho 0.3757 0.7515 0.6209
4 Ho 0.6243 0.2485 0.3791
5 Fe 0.2673 0.5347 0.9095
6 U 0.3236 0.6473 0.2213
7 U 0.6764 0.3527 0.7787
8 Fe 0.9065 0.8130 0.3539
9 Fe 0.7327 0.4653 0.0905

=====

A plane-wave DFT calculation with PBE-GGA was carried out for a relaxed NbVB2 crystal.

Properties
ΔE_f in kcal/mol of atoms: -11.0
Energy above the lowest structure with this stoichiometry in kJ/mol of atoms: 28.3

a b c (Å): 3.1693 3.1693 5.4285
angles (deg): 73.03 73.03 60.00
Fractional positions:
1 B 0.2565 0.2565 0.2305
2 Nb 0.5000 0.5000 0.5000
3 B 0.7435 0.7435 0.7695
4 V 0.0000 0.0000 0.0000

=====

A plane-wave DFT calculation with PBE-GGA was carried out for a relaxed ErCdPt2 crystal.

Properties
ΔE_f in kcal/mol of atoms: -19.2

a b c (Å): 3.6319 4.5875 4.5875
angles (deg): 90.00 90.00 90.00
Fractional positions:
1 Er 0.5000 0.5000 0.5000
2 Pt 0.0000 0.0000 0.5000
3 Cd 0.5000 0.0000 0.0000
4 Pt 0.0000 0.5000 0.0000

=====

A plane-wave DFT calculation with PBE-GGA was carried out for a relaxed NaHg12Au6 crystal.

Properties
ΔE_f in kcal/mol of atoms: 0.6

a b c (Å): 8.1241 8.1241 8.1241
angles (deg): 106.18 106.18 106.18
Fractional positions:
1 Hg 0.6339 0.6339 0.8767
2 Au 0.2972 0.2972 0.7017
3 Hg 0.8767 0.6339 0.6339
4 Au 0.2983 0.7028 0.7028
5 Au 0.7028 0.2983 0.7028
6 Au 0.2972 0.7017 0.2972
7 Hg 0.8856 0.5000 0.1144
8 Hg 0.3661 0.3661 0.1233
9 Hg 0.1144 0.5000 0.8856
10 Hg 0.6339 0.8767 0.6339
11 Hg 0.1233 0.3661 0.3661
12 Hg 0.8856 0.1144 0.5000
13 Hg 0.3661 0.1233 0.3661
14 Au 0.7017 0.2972 0.2972
15 Hg 0.5000 0.8856 0.1144
16 Hg 0.5000 0.1144 0.8856
17 Hg 0.1144 0.8856 0.5000
18 Au 0.7028 0.7028 0.2983
19 Na 0.0000 0.0000 0.0000

=====

A plane-wave DFT calculation with PBE-GGA was carried out for a relaxed BaPtCl crystal.

Properties
Energy above the lowest structure with this stoichiometry in kJ/mol of atoms: 18.0

a b c (Å): 5.0232 5.0232 5.0232
angles (deg): 60.00 60.00 60.00
Fractional positions:
1 Cl 0.7500 0.7500 0.7500
2 Ba 0.5000 0.5000 0.5000
3 Pt 0.0000 0.0000 0.0000

=====

A plane-wave DFT calculation with PBE-GGA was carried out for a relaxed Mg2ScCu crystal.

Properties
ΔE_f in kcal/mol of atoms: -0.8

a b c (Å): 3.8570 4.3016 4.6878
angles (deg): 90.00 90.00 90.00
Fractional positions:
1 Cu 0.0000 0.5000 0.5000
2 Mg 0.5000 0.5000 0.0000
3 Sc 0.5000 0.0000 0.5000
4 Mg 0.0000 0.0000 0.0000

=====

A plane-wave DFT calculation with PBE-GGA was carried out for a relaxed Na2TbNpS4 crystal.

a b c (Å): 4.0194 6.9644 7.0689
angles (deg): 109.34 90.00 90.00
Last column: magnetic moment on the atom in μB.
Fractional positions:
1 S 0.5000 0.2426 0.2266  -0.06
2 S 0.0000 0.7412 0.2289  -0.02
3 Tb 0.5000 0.5000 0.0000  0.07
4 S 0.0000 0.2588 0.7711  -0.02
5 S 0.5000 0.7574 0.7734  -0.06
6 Na 0.5000 0.0000 0.5000  0.00
7 Np 0.0000 0.0000 0.0000  3.83
8 Na 0.0000 0.5000 0.5000  0.00

=====

A plane-wave DFT calculation with PBE-GGA was carried out for a relaxed Ca2ZrScSb4 crystal.

a b c (Å): 4.2265 7.3435 7.7763
angles (deg): 108.21 90.00 90.00
Fractional positions:
1 Sb 0.5000 0.7592 0.7745
2 Sc 0.5000 0.5000 0.0000
3 Sb 0.0000 0.2572 0.7748
4 Sb 0.0000 0.7428 0.2252
5 Ca 0.5000 0.0000 0.5000
6 Ca 0.0000 0.5000 0.5000
7 Sb 0.5000 0.2408 0.2255
8 Zr 0.0000 0.0000 0.0000

=====

A plane-wave DFT calculation with PBE-GGA was carried out for a relaxed CaPm2Hg2 crystal.

Properties
ΔE_f in kcal/mol of atoms: -9.2

a b c (Å): 3.7968 5.4492 14.2654
angles (deg): 90.00 97.66 90.00
Fractional positions:
1 Pm 0.9507 0.2500 0.9035
2 Ca 0.1432 0.2500 0.2863
3 Hg 0.4535 0.7500 0.9080
4 Hg 0.6433 0.7500 0.2865
5 Pm 0.7671 0.2500 0.5330
6 Hg 0.3567 0.2500 0.7135
7 Hg 0.5465 0.2500 0.0920
8 Ca 0.8568 0.7500 0.7137
9 Pm 0.0493 0.7500 0.0965
10 Pm 0.2329 0.7500 0.4670

=====

| no. | energy (eV per cell) |
| --- | --- |
| 1 | -24.09 |
| 2 | -19.63 |
| 3 | -19.41 |
| 4 | -20.28 |
| 5 | -71.84 |
| 6 | -34.46 |
| 7 | -20.89 |
| 8 | -24.10 |
| 9 | -11.61 |
| 10 | -13.76 |
| 11 | -49.40 |
| 12 | -42.07 |
| 13 | -28.22 |